1.
Crystalline PrSm5Dy2 at its relaxed geometry, computed with GGA-PBE.

a b c (Å): 7.192 14.806 10.079
angles (deg): 90.00 90.00 148.21
Positions (direct):
Pr1 0.013 0.720 0.750
Pr2 0.987 0.280 0.250
Sm1 0.249 0.000 0.972
Sm2 0.249 0.000 0.528
Sm3 0.370 0.639 0.408
Sm4 0.370 0.639 0.092
Sm5 0.488 0.277 0.250
Sm6 0.512 0.723 0.750
Sm7 0.630 0.361 0.592
Sm8 0.630 0.361 0.908
Sm9 0.751 0.000 0.028
Sm10 0.751 0.000 0.472
Dy1 0.860 0.635 0.408
Dy2 0.860 0.635 0.092
Dy3 0.140 0.365 0.592
Dy4 0.140 0.365 0.908

- DFT formation energy: 22.7 kJ per mole of atoms
- Density of states at the Fermi level: 1.42 states/eV/atom
- Energy above the most stable polymorph in this dataset: 1.76 eV/f.u.
- Size of the total moment: 0.00 μB/cell


2.
Crystalline KLi2Bi2 at its relaxed geometry, computed with GGA-PBE.

a b c (Å): 4.979 4.979 6.970
angles (deg): 69.07 69.07 90.00
Positions (direct):
K1 0.000 0.000 0.000
Bi1 0.375 0.375 0.249
Bi2 0.625 0.625 0.751
Li1 0.750 0.250 0.500
Li2 0.250 0.750 0.500

- DFT formation energy: -36.6 kJ per mole of atoms
- Density of states at the Fermi level: 0.46 states/eV/atom
- Energy above the most stable polymorph in this dataset: 0.07 eV/f.u.
- Size of the total moment: 0.00 μB/cell


3.
Crystalline CoOsC3 at its relaxed geometry, computed with GGA-PBE.

a b c (Å): 3.957 3.957 3.957
angles (deg): 90.00 90.00 90.00
Positions (direct):
Co1 0.500 0.500 0.500
C1 0.000 0.500 0.000
C2 0.000 0.000 0.500
C3 0.500 0.000 0.000
Os1 0.000 0.000 0.000

- DFT formation energy: 210.9 kJ per mole of atoms
- Density of states at the Fermi level: 1.29 states/eV/atom
- Energy above the most stable polymorph in this dataset: 0.00 eV/f.u.
- Size of the total moment: 1.17 μB/cell


4.
Crystalline Cs3As2P at its relaxed geometry, computed with GGA-PBE.

a b c (Å): 8.547 10.762 14.461
angles (deg): 90.00 127.81 90.00
Positions (direct):
Cs1 0.325 0.940 0.065
Cs2 0.175 0.440 0.435
Cs3 0.675 0.060 0.935
Cs4 0.825 0.560 0.565
Cs5 0.357 0.546 0.172
Cs6 0.143 0.046 0.328
Cs7 0.643 0.454 0.828
Cs8 0.857 0.954 0.672
Cs9 0.804 0.662 0.128
Cs10 0.696 0.162 0.372
Cs11 0.196 0.338 0.872
Cs12 0.304 0.838 0.628
As1 0.775 0.794 0.360
As2 0.725 0.294 0.140
As3 0.225 0.206 0.640
As4 0.275 0.706 0.860
As5 0.360 0.725 0.395
As6 0.140 0.225 0.105
As7 0.640 0.275 0.605
As8 0.860 0.775 0.895
P1 0.526 0.853 0.362
P2 0.974 0.353 0.138
P3 0.474 0.147 0.638
P4 0.026 0.647 0.862

- DFT formation energy: -39.6 kJ per mole of atoms
- Density of states at the Fermi level: 0.01 states/eV/atom
- Size of the total moment: 0.00 μB/cell


5.
Crystalline Nd3Al2Hg at its relaxed geometry, computed with GGA-PBE.

a b c (Å): 3.602 3.602 12.305
angles (deg): 90.00 90.00 90.00
Positions (direct):
Nd1 0.000 0.000 0.000
Nd2 0.000 0.000 0.676
Nd3 0.000 0.000 0.324
Al1 0.500 0.500 0.835
Al2 0.500 0.500 0.165
Hg1 0.500 0.500 0.500

- DFT formation energy: -38.1 kJ per mole of atoms
- Density of states at the Fermi level: 0.32 states/eV/atom
- Size of the total moment: 0.00 μB/cell


6.
Crystalline LiCd2GeO5 at its relaxed geometry, computed with GGA-PBE.

a b c (Å): 3.307 6.803 10.332
angles (deg): 90.00 90.00 104.07
Positions (direct):
Li1 0.807 0.613 0.550
Li2 0.193 0.387 0.050
Cd1 0.823 0.647 0.823
Cd2 0.109 0.218 0.645
Cd3 0.177 0.353 0.323
Cd4 0.891 0.782 0.145
Ge1 0.537 0.075 0.937
Ge2 0.463 0.925 0.437
O1 0.393 0.786 0.955
O2 0.681 0.362 0.947
O3 0.538 0.076 0.764
O4 0.276 0.551 0.678
O5 0.960 0.919 0.524
O6 0.607 0.214 0.455
O7 0.319 0.638 0.447
O8 0.462 0.924 0.264
O9 0.724 0.449 0.178
O10 0.040 0.081 0.024

- Density of states at the Fermi level: 0.19 states/eV/atom
- Raw formation energy: -1.225 eV per atom
- Size of the total moment: 2.09 μB/cell


7.
Crystalline Tm6CuSb2 at its relaxed geometry, computed with GGA-PBE.

a b c (Å): 6.254 7.909 9.816
angles (deg): 90.00 89.77 90.00
Positions (direct):
Tm1 0.864 0.971 0.240
Tm2 0.871 0.672 0.543
Tm3 0.874 0.694 0.956
Tm4 0.626 0.194 0.544
Tm5 0.629 0.172 0.957
Tm6 0.636 0.471 0.260
Tm7 0.136 0.029 0.760
Tm8 0.129 0.328 0.457
Tm9 0.126 0.306 0.044
Tm10 0.374 0.806 0.456
Tm11 0.371 0.828 0.043
Tm12 0.364 0.529 0.740
Cu1 0.500 0.500 0.000
Cu2 0.000 0.000 0.500
Sb1 0.899 0.384 0.756
Sb2 0.601 0.884 0.744
Sb3 0.399 0.116 0.256
Sb4 0.101 0.616 0.244

- Density of states at the Fermi level: 1.09 states/eV/atom
- Raw formation energy: -0.486 eV per atom
- Size of the total moment: 0.00 μB/cell


8.
Crystalline CaTl2CdBi2 at its relaxed geometry, computed with GGA-PBE.

a b c (Å): 4.893 7.818 10.243
angles (deg): 90.00 90.00 90.00
Positions (direct):
Ca1 0.000 0.986 0.456
Ca2 0.000 0.486 0.544
Tl1 0.500 0.035 0.092
Tl2 0.000 0.344 0.159
Tl3 0.500 0.535 0.908
Tl4 0.000 0.844 0.841
Cd1 0.500 0.157 0.670
Cd2 0.500 0.657 0.330
Bi1 0.000 0.260 0.820
Bi2 0.500 0.263 0.383
Bi3 0.000 0.760 0.180
Bi4 0.500 0.763 0.617

- DFT formation energy: -27.6 kJ per mole of atoms
- Density of states at the Fermi level: 0.15 states/eV/atom
- Size of the total moment: 0.00 μB/cell


9.
Crystalline Pt2O3F at its relaxed geometry, computed with GGA-PBE.

a b c (Å): 6.465 6.465 6.030
angles (deg): 57.58 57.58 60.00
Positions (direct):
Pt1 0.000 0.000 0.000
Pt2 0.500 0.000 0.000
Pt3 0.500 0.500 0.000
Pt4 0.000 0.500 0.000
O1 0.230 0.724 0.817
O2 0.724 0.230 0.817
O3 0.230 0.230 0.817
O4 0.276 0.770 0.183
O5 0.770 0.276 0.183
O6 0.770 0.770 0.183
F1 0.247 0.247 0.260
F2 0.753 0.753 0.740

- Density of states at the Fermi level: 0.44 states/eV/atom
- Raw formation energy: -0.436 eV per atom
- Size of the total moment: 0.00 μB/cell


10.
Crystalline Pm2PAu at its relaxed geometry, computed with GGA-PBE.

a b c (Å): 5.120 5.120 5.120
angles (deg): 60.00 60.00 60.00
Positions (direct):
P1 0.000 0.000 0.000
Au1 0.500 0.500 0.500
Pm1 0.250 0.250 0.250
Pm2 0.750 0.750 0.750

- DFT formation energy: -81.5 kJ per mole of atoms
- Density of states at the Fermi level: 1.12 states/eV/atom
- Energy above the most stable polymorph in this dataset: 1.01 eV/f.u.
- Size of the total moment: 0.00 μB/cell


11.
Crystalline CePu2Al3 at its relaxed geometry, computed with GGA-PBE.

a b c (Å): 5.816 5.816 7.917
angles (deg): 82.71 82.71 96.43
Positions (direct):
Ce1 0.900 0.100 0.250
Ce2 0.100 0.900 0.750
Pu1 0.102 0.636 0.129
Pu2 0.364 0.898 0.371
Pu3 0.898 0.364 0.871
Pu4 0.636 0.102 0.629
Al1 0.818 0.629 0.492
Al2 0.371 0.182 0.008
Al3 0.182 0.371 0.508
Al4 0.629 0.818 0.992
Al5 0.550 0.450 0.250
Al6 0.450 0.550 0.750

- DFT formation energy: -19.4 kJ per mole of atoms
- Density of states at the Fermi level: 1.97 states/eV/atom
- Size of the total moment: 24.47 μB/cell


12.
Crystalline Ca6MgHg2 at its relaxed geometry, computed with GGA-PBE.

a b c (Å): 9.319 9.319 9.319
angles (deg): 101.15 113.17 114.39
Positions (direct):
Ca1 0.520 0.705 0.815
Ca2 0.480 0.295 0.185
Ca3 0.110 0.295 0.815
Ca4 0.890 0.705 0.185
Ca5 0.806 0.754 0.560
Ca6 0.194 0.246 0.440
Ca7 0.194 0.754 0.948
Ca8 0.806 0.246 0.052
Ca9 0.694 0.354 0.660
Ca10 0.306 0.646 0.340
Ca11 0.306 0.966 0.660
Ca12 0.694 0.034 0.340
Mg1 0.000 0.500 0.500
Mg2 0.000 0.000 0.000
Hg1 0.500 0.363 0.863
Hg2 0.500 0.637 0.137
Hg3 0.688 0.000 0.688
Hg4 0.312 0.000 0.312

- DFT formation energy: -26.3 kJ per mole of atoms
- Density of states at the Fermi level: 1.08 states/eV/atom
- Size of the total moment: 0.00 μB/cell


13.
Crystalline Sr2CuTeN at its relaxed geometry, computed with GGA-PBE.

a b c (Å): 5.802 3.691 5.802
angles (deg): 90.00 90.00 90.00
Positions (direct):
Sr1 0.000 0.000 0.500
Sr2 0.500 0.000 0.000
Te1 0.500 0.500 0.500
Cu1 0.000 0.000 0.000
N1 0.000 0.500 0.000

- Density of states at the Fermi level: 0.01 states/eV/atom
- Energy above the most stable polymorph in this dataset: 1.89 eV/f.u.
- Raw formation energy: -0.472 eV per atom
- Size of the total moment: 0.00 μB/cell


14.
Crystalline LiPmAlSi at its relaxed geometry, computed with GGA-PBE.

a b c (Å): 4.881 4.881 4.881
angles (deg): 60.00 60.00 60.00
Positions (direct):
Si1 0.250 0.250 0.250
Li1 0.500 0.500 0.500
Al1 0.750 0.750 0.750
Pm1 0.000 0.000 0.000

- Density of states at the Fermi level: 0.67 states/eV/atom
- Raw formation energy: -0.183 eV per atom
- Size of the total moment: 0.00 μB/cell


15.
Crystalline Ca4PmNd3 at its relaxed geometry, computed with GGA-PBE.

a b c (Å): 5.337 10.702 10.673
angles (deg): 90.00 90.00 90.00
Positions (direct):
Ca1 0.064 0.866 0.000
Ca2 0.564 0.135 0.000
Ca3 0.064 0.134 0.250
Ca4 0.564 0.866 0.250
Ca5 0.064 0.865 0.500
Ca6 0.564 0.134 0.500
Ca7 0.564 0.866 0.750
Ca8 0.064 0.134 0.750
Nd1 0.564 0.611 0.000
Nd2 0.064 0.611 0.250
Nd3 0.564 0.389 0.250
Nd4 0.064 0.389 0.500
Nd5 0.564 0.389 0.750
Nd6 0.064 0.611 0.750
Pm1 0.064 0.389 0.000
Pm2 0.564 0.611 0.500

- DFT formation energy: 2.2 kJ per mole of atoms
- Density of states at the Fermi level: 1.18 states/eV/atom
- Size of the total moment: 0.00 μB/cell


16.
Crystalline CsCd10Bi at its relaxed geometry, computed with GGA-PBE.

a b c (Å): 4.772 6.550 10.978
angles (deg): 90.00 90.00 90.00
Positions (direct):
Cs1 0.000 0.500 0.500
Cd1 0.000 0.000 0.319
Cd2 0.000 0.500 0.845
Cd3 0.000 0.500 0.155
Cd4 0.000 0.000 0.681
Cd5 0.500 0.000 0.500
Cd6 0.500 0.500 0.000
Cd7 0.500 0.234 0.227
Cd8 0.500 0.766 0.773
Cd9 0.500 0.766 0.227
Cd10 0.500 0.234 0.773
Bi1 0.000 0.000 0.000

- DFT formation energy: 4.6 kJ per mole of atoms
- Density of states at the Fermi level: 0.39 states/eV/atom
- Size of the total moment: 0.00 μB/cell


17.
Crystalline LaSeBr2F at its relaxed geometry, computed with GGA-PBE.

a b c (Å): 5.328 5.328 4.174
angles (deg): 90.00 90.00 90.00
Positions (direct):
F1 0.000 0.000 0.000
Se1 0.000 0.000 0.500
Br1 0.000 0.500 0.000
Br2 0.500 0.000 0.000
La1 0.500 0.500 0.500

- Density of states at the Fermi level: 0.17 states/eV/atom
- Energy above the most stable polymorph in this dataset: 0.00 eV/f.u.
- Raw formation energy: -1.063 eV per atom
- Size of the total moment: 0.00 μB/cell


18.
Crystalline MgTlCu2 at its relaxed geometry, computed with GGA-PBE.

a b c (Å): 4.317 4.323 3.670
angles (deg): 90.00 90.00 90.00
Positions (direct):
Cu1 0.000 0.000 0.000
Cu2 0.500 0.500 0.000
Mg1 0.500 0.000 0.500
Tl1 0.000 0.500 0.500

- DFT formation energy: 10.8 kJ per mole of atoms
- Density of states at the Fermi level: 0.25 states/eV/atom
- Size of the total moment: 0.00 μB/cell


19.
Crystalline Lu4Sn2O at its relaxed geometry, computed with GGA-PBE.

a b c (Å): 4.467 4.467 8.760
angles (deg): 75.23 75.23 90.00
Positions (direct):
Lu1 0.827 0.827 0.347
Lu2 0.173 0.173 0.653
Lu3 0.000 0.500 0.000
Lu4 0.500 0.000 0.000
Sn1 0.639 0.639 0.722
Sn2 0.361 0.361 0.278
O1 0.000 0.000 0.000

- Density of states at the Fermi level: 0.97 states/eV/atom
- Raw formation energy: -1.251 eV per atom
- Size of the total moment: 0.00 μB/cell


20.
Crystalline KHg2Mo at its relaxed geometry, computed with GGA-PBE.

a b c (Å): 5.221 5.221 5.221
angles (deg): 60.00 60.00 60.00
Positions (direct):
K1 0.000 0.000 0.000
Mo1 0.500 0.500 0.500
Hg1 0.250 0.250 0.250
Hg2 0.750 0.750 0.750

- DFT formation energy: 75.3 kJ per mole of atoms
- Density of states at the Fermi level: 0.76 states/eV/atom
- Energy above the most stable polymorph in this dataset: 1.03 eV/f.u.
- Size of the total moment: 3.43 μB/cell